{"formula": "InSbAu2", "functional": "PBE", "state": "optimized geometry", "lattice": [[2.959, -4.013, 0.000], [2.959, 4.013, 0.000], [-2.891, 0.000, 4.064]], "species": ["In", "Sb", "Au", "Au"], "fractional_positions": [[0.000, 0.000, 0.000], [0.500, 0.500, 0.000], [0.000, 0.500, 0.500], [0.500, 0.000, 0.500]], "total_magnetization_mub_per_cell": 0.000, "crystal_system": "monoclinic", "de_polymorph_mev_per_atom": 105, "vol_a3_per_fu": 96.5, "n_ef_per_ev_fu": 2.29, "e_tot_ev_per_atom": -3.370}



{"formula": "InSbAu2", "functional": "PBE", "state": "optimized geometry", "lattice": [[-2.196, 2.196, 4.532], [2.196, -2.196, 4.532], [2.196, 2.196, -4.532]], "species": ["In", "Sb", "Au", "Au"], "fractional_positions": [[0.000, 0.000, 0.000], [0.250, 0.750, 0.500], [0.500, 0.500, 0.000], [0.750, 0.250, 0.500]], "total_magnetization_mub_per_cell": 0.000, "crystal_system": "tetragonal", "de_polymorph_mev_per_atom": 179, "vol_a3_per_fu": 87.4, "n_ef_per_ev_fu": 2.44, "e_tot_ev_per_atom": -3.297}



Results for raw formation energy: -0.0160, 0.0572 (in eV/atom, following the order of the records).